No. 1
First-principles (GGA-PBE) data for crystalline TlSn3Pb at its relaxed geometry, as listed in Alexandria via LeMat-Bulk.

abc: 11.364 3.388 15.477
angles: 90.00 90.00 90.00
Space group Pnma (No. 62)
Inequivalent atoms, fractional coordinates:
1 Tl 0.134 0.250 0.030 [4 per cell]
2 Sn 0.101 0.750 0.820 [4 per cell]
3 Sn 0.140 0.750 0.236 [4 per cell]
4 Sn 0.147 0.250 0.410 [4 per cell]
5 Pb 0.109 0.250 0.629 [4 per cell]

Results
- Calculated density: 8.56 Mg/m³
- Total magnetization: 0.000 μB per cell
- Offset from the most stable computed form: 0.0000 eV/atom
- DFT total energy: -3.5711 eV per atom
- Fermi-level density of states: 9.307 states/eV/cell

=====

No. 2
First-principles (GGA-PBE) data for crystalline Tl2SnPb6 at its relaxed geometry, as listed in Alexandria via LeMat-Bulk.

abc: 9.6957 9.6957 3.4256
angles: 90.00 90.00 120.00
Space group P-62m (No. 189)
Inequivalent atoms, fractional coordinates:
1 Tl 0.3333 0.6667 0.0000 [2 per cell]
2 Sn 0.0000 0.0000 0.5000 [1 per cell]
3 Pb 0.0000 0.3553 0.5000 [3 per cell]
4 Pb 0.0000 0.7004 0.0000 [3 per cell]

Results
- Calculated density: 10.54 Mg/m³
- Total magnetization: 0.000 μB per cell
- Offset from the most stable computed form: 0.0000 eV/atom
- DFT total energy: -3.4110 eV per atom
- Fermi-level density of states: 4.324 states/eV/cell

=====

No. 3
First-principles (GGA-PBE) data for crystalline Tl3SnPb12 at its relaxed geometry, as listed in Alexandria via LeMat-Bulk.

abc: 6.017 6.017 13.963
angles: 90.00 90.00 90.00
Space group P4/mmm (No. 123)
Inequivalent atoms, fractional coordinates:
1 Tl 0.000 0.000 0.000 [1 per cell]
2 Tl 0.000 0.000 0.251 [2 per cell]
3 Sn 0.000 0.000 0.500 [1 per cell]
4 Pb 0.000 0.500 0.125 [4 per cell]
5 Pb 0.000 0.500 0.380 [4 per cell]
6 Pb 0.500 0.500 0.000 [1 per cell]
7 Pb 0.500 0.500 0.250 [2 per cell]
8 Pb 0.500 0.500 0.500 [1 per cell]

Results
- Calculated density: 10.57 Mg/m³
- Total magnetization: 0.000 μB per cell
- DFT total energy: -3.4261 eV per atom
- Fermi-level density of states: 12.985 states/eV/cell

=====

No. 4
First-principles (GGA-PBE) data for crystalline Tl12SnPb3 at its relaxed geometry, as listed in Alexandria via LeMat-Bulk.

abc: 5.239 5.239 17.758
angles: 90.00 90.00 90.00
Space group P4/mmm (No. 123)
Inequivalent atoms, fractional coordinates:
1 Tl 0.000 0.000 0.000 [1 per cell]
2 Tl 0.000 0.000 0.248 [2 per cell]
3 Tl 0.000 0.000 0.500 [1 per cell]
4 Tl 0.000 0.500 0.122 [4 per cell]
5 Tl 0.000 0.500 0.374 [4 per cell]
6 Sn 0.500 0.500 0.000 [1 per cell]
7 Pb 0.500 0.500 0.249 [2 per cell]
8 Pb 0.500 0.500 0.500 [1 per cell]

Results
- Calculated density: 10.88 Mg/m³
- Total magnetization: 0.000 μB per cell
- DFT total energy: -2.7034 eV per atom
- Fermi-level density of states: 7.468 states/eV/cell

=====

No. 5
First-principles (GGA-PBE) data for crystalline Tl8SnPb3 at its relaxed geometry, as listed in Alexandria via LeMat-Bulk.

abc: 6.1508 6.1508 11.2342
angles: 90.00 90.00 120.00
Space group P-31m (No. 162)
Inequivalent atoms, fractional coordinates:
1 Tl 0.0000 0.3309 0.2530 [6 per cell]
2 Tl 0.3333 0.6667 0.5000 [2 per cell]
3 Sn 0.0000 0.0000 0.5000 [1 per cell]
4 Pb 0.0000 0.0000 0.0000 [1 per cell]
5 Pb 0.3333 0.6667 0.0000 [2 per cell]

Results
- Calculated density: 10.72 Mg/m³
- Total magnetization: 0.000 μB per cell
- DFT total energy: -2.8071 eV per atom
- Fermi-level density of states: 7.055 states/eV/cell

=====

No. 6
First-principles (GGA-PBE) data for crystalline Tl2Sn3Pb8 at its relaxed geometry, as listed in Alexandria via LeMat-Bulk.

abc: 6.139 5.837 11.896
angles: 90.00 101.97 90.00
Space group P2/m (No. 10)
Inequivalent atoms, fractional coordinates:
1 Tl 0.219 0.000 0.433 [2 per cell]
2 Sn 0.229 0.500 0.950 [2 per cell]
3 Sn 0.500 0.000 0.000 [1 per cell]
4 Pb 0.058 0.000 0.138 [2 per cell]
5 Pb 0.109 0.500 0.641 [2 per cell]
6 Pb 0.327 0.500 0.233 [2 per cell]
7 Pb 0.374 0.000 0.723 [2 per cell]

Results
- Calculated density: 9.65 Mg/m³
- Total magnetization: 0.000 μB per cell
- Offset from the most stable computed form: 0.0000 eV/atom
- DFT total energy: -3.5058 eV per atom
- Fermi-level density of states: 6.844 states/eV/cell

=====

No. 7
First-principles (GGA-PBE) data for crystalline Tl4SnPb2 at its relaxed geometry, as listed in Alexandria via LeMat-Bulk.

abc: 11.445 11.445 3.511
angles: 90.00 90.00 90.00
Space group P4_2/mnm (No. 136)
Inequivalent atoms, fractional coordinates:
1 Tl 0.077 0.309 0.000 [8 per cell]
2 Sn 0.000 0.000 0.500 [2 per cell]
3 Pb 0.170 0.830 0.000 [4 per cell]

Results
- Calculated density: 9.75 Mg/m³
- Total magnetization: 0.000 μB per cell
- Offset from the most stable computed form: 0.0000 eV/atom
- DFT total energy: -2.8880 eV per atom
- Fermi-level density of states: 8.316 states/eV/cell

=====

No. 8
First-principles (GGA-PBE) data for crystalline Tl3SnPb3 at its relaxed geometry, as listed in Alexandria via LeMat-Bulk.

abc: 9.405 5.625 9.405
angles: 90.00 119.80 90.00
Space group P2_1/m (No. 11)
Inequivalent atoms, fractional coordinates:
1 Tl 0.014 0.250 0.400 [2 per cell]
2 Tl 0.113 0.750 0.015 [2 per cell]
3 Tl 0.401 0.750 0.887 [2 per cell]
4 Sn 0.167 0.250 0.833 [2 per cell]
5 Pb 0.255 0.750 0.431 [2 per cell]
6 Pb 0.325 0.250 0.255 [2 per cell]
7 Pb 0.430 0.250 0.675 [2 per cell]

Results
- Calculated density: 10.41 Mg/m³
- Total magnetization: 0.000 μB per cell
- Offset from the most stable computed form: 0.0000 eV/atom
- DFT total energy: -3.1434 eV per atom
- Fermi-level density of states: 8.938 states/eV/cell

=====

No. 9
First-principles (GGA-PBE) data for crystalline Tl4Sn3Pb2 at its relaxed geometry, as listed in Alexandria via LeMat-Bulk.

abc: 16.084 11.783 5.828
angles: 90.00 98.13 90.00
Space group C2/c (No. 15)
Inequivalent atoms, fractional coordinates:
1 Tl 0.060 0.116 0.029 [8 per cell]
2 Tl 0.228 0.386 0.874 [8 per cell]
3 Sn 0.000 0.356 0.750 [4 per cell]
4 Sn 0.170 0.154 0.575 [8 per cell]
5 Pb 0.106 0.386 0.301 [8 per cell]

Results
- Calculated density: 9.65 Mg/m³
- Total magnetization: 0.000 μB per cell
- DFT total energy: -3.1562 eV per atom
- Fermi-level density of states: 15.963 states/eV/cell

=====

No. 10
First-principles (GGA-PBE) data for crystalline TlSn2Pb8 at its relaxed geometry, as listed in Alexandria via LeMat-Bulk.

abc: 9.730 13.071 5.926
angles: 90.00 107.81 90.00
Space group C2/m (No. 12)
Inequivalent atoms, fractional coordinates:
1 Tl 0.000 0.000 0.000 [2 per cell]
2 Sn 0.000 0.350 0.500 [4 per cell]
3 Pb 0.000 0.253 0.000 [4 per cell]
4 Pb 0.152 0.500 0.915 [4 per cell]
5 Pb 0.187 0.136 0.587 [8 per cell]

Results
- Calculated density: 9.72 Mg/m³
- Total magnetization: 0.000 μB per cell
- Offset from the most stable computed form: 0.0718 eV/atom
- DFT total energy: -3.5489 eV per atom
- Fermi-level density of states: 9.647 states/eV/cell

=====

No. 11
First-principles (GGA-PBE) data for crystalline Tl3Sn2Pb2 at its relaxed geometry, as listed in Alexandria via LeMat-Bulk.

abc: 4.438 27.119 3.579
angles: 90.00 90.00 90.00
Space group Cmmm (No. 65)
Inequivalent atoms, fractional coordinates:
1 Tl 0.000 0.000 0.000 [2 per cell]
2 Tl 0.000 0.428 0.500 [4 per cell]
3 Sn 0.000 0.140 0.000 [4 per cell]
4 Pb 0.000 0.297 0.500 [4 per cell]

Results
- Calculated density: 9.75 Mg/m³
- Total magnetization: 0.000 μB per cell
- DFT total energy: -3.1819 eV per atom
- Fermi-level density of states: 5.831 states/eV/cell

=====

No. 12
First-principles (GGA-PBE) data for crystalline Tl7Sn2Pb2 at its relaxed geometry, as listed in Alexandria via LeMat-Bulk.

abc: 6.655 10.763 9.683
angles: 90.00 91.43 90.00
Space group C2/m (No. 12)
Inequivalent atoms, fractional coordinates:
1 Tl 0.000 0.000 0.000 [2 per cell]
2 Tl 0.147 0.298 0.154 [8 per cell]
3 Tl 0.209 0.500 0.718 [4 per cell]
4 Sn 0.179 0.000 0.619 [4 per cell]
5 Pb 0.000 0.273 0.500 [4 per cell]

Results
- Calculated density: 9.98 Mg/m³
- Total magnetization: 0.000 μB per cell
- Offset from the most stable computed form: 0.0000 eV/atom
- DFT total energy: -2.8771 eV per atom
- Fermi-level density of states: 10.044 states/eV/cell